1.
Here is a relaxed Nd6Si2ICl3 crystal from Alexandria via LeMat-Bulk. Energies are from PBE.

a = 4.3035 Å, b = 8.5103 Å, c = 9.3311 Å
α = 97.68°, β = 103.33°, γ = 90.00°
Element x y z (fractional)
Nd: 0.3162 0.8795 0.6324
Nd: 0.9864 0.7062 0.9727
Nd: 0.0136 0.2938 0.0273
Nd: 0.6838 0.1205 0.3676
Nd: 0.6680 0.5736 0.3359
Nd: 0.3320 0.4264 0.6641
Cl: 0.8457 0.1620 0.6915
Cl: 0.5000 0.5000 0.0000
Cl: 0.1543 0.8380 0.3085
Si: 0.1714 0.3384 0.3427
Si: 0.8286 0.6616 0.6573
I: 0.5000 0.0000 0.0000

Values from the calculation:
* E: -5.02 eV per atom
* DOS at the Fermi energy: 6.5 states/eV per cell


2.
Here is a relaxed ZnCu2Sb2 crystal from Alexandria via LeMat-Bulk. Energies are from PBE.

a = 7.9688 Å, b = 7.9688 Å, c = 3.1376 Å
α = 90.00°, β = 90.00°, γ = 90.00°
Element x y z (fractional)
Sb: 0.8168 0.6832 0.0000
Sb: 0.1832 0.3168 0.0000
Sb: 0.3168 0.8168 0.0000
Sb: 0.6832 0.1832 0.0000
Cu: 0.6116 0.8884 0.5000
Cu: 0.1116 0.6116 0.5000
Cu: 0.3884 0.1116 0.5000
Cu: 0.8884 0.3884 0.5000
Zn: 0.5000 0.5000 0.0000
Zn: 0.0000 0.0000 0.0000

Values from the calculation:
* energy above the most stable polymorph in this dataset: 99 meV per atom
* E: -3.29 eV per atom
* DOS at the Fermi energy: 4.3 states/eV per cell


3.
Here is a relaxed ZrSbMo2 crystal from Alexandria via LeMat-Bulk. Energies are from PBE.

a = 8.6471 Å, b = 8.6471 Å, c = 8.6471 Å
α = 21.74°, β = 21.74°, γ = 21.74°
Element x y z (fractional)
Zr: 0.7500 0.7500 0.7500
Mo: 0.9979 0.9979 0.9979
Mo: 0.5021 0.5021 0.5021
Sb: 0.2500 0.2500 0.2500

Values from the calculation:
* E: -8.21 eV per atom
* DOS at the Fermi energy: 4.9 states/eV per cell


4.
Here is a relaxed Rb2In2P3 crystal from Alexandria via LeMat-Bulk. Energies are from PBE.

a = 4.4687 Å, b = 9.4092 Å, c = 10.7362 Å
α = 76.19°, β = 77.99°, γ = 76.26°
Element x y z (fractional)
P: 0.4097 0.7461 0.4346
P: 0.8608 0.4998 0.7787
P: 0.1392 0.5002 0.2213
P: 0.9429 0.0128 0.1015
P: 0.5903 0.2539 0.5654
P: 0.0571 0.9872 0.8985
In: 0.9740 0.7673 0.2847
In: 0.0260 0.2327 0.7153
In: 0.5876 0.4695 0.3553
In: 0.4124 0.5305 0.6447
Rb: 0.6320 0.7200 0.0159
Rb: 0.3680 0.2800 0.9841
Rb: 0.7298 0.8778 0.6627
Rb: 0.2702 0.1222 0.3373

Values from the calculation:
* ΔH_f (0 K): -273.7 meV per atom
* E: -3.65 eV per atom
* DOS at the Fermi energy: 2.8 states/eV per cell


5.
Here is a relaxed NdCuHgPt crystal from Alexandria via LeMat-Bulk. Energies are from PBE.

a = 4.8859 Å, b = 4.8859 Å, c = 4.8859 Å
α = 60.00°, β = 60.00°, γ = 60.00°
Element x y z (fractional)
Pt: 0.5000 0.5000 0.5000
Cu: 0.0000 0.0000 0.0000
Hg: 0.2500 0.2500 0.2500
Nd: 0.7500 0.7500 0.7500

Values from the calculation:
* ΔH_f (0 K): -419.7 meV per atom
* E: -4.22 eV per atom
* DOS at the Fermi energy: 2.7 states/eV per cell


6.
Here is a relaxed Tm2MgSc3 crystal from Alexandria via LeMat-Bulk. Energies are from PBE.

a = 7.9089 Å, b = 7.9260 Å, c = 9.4231 Å
α = 100.26°, β = 147.05°, γ = 77.75°
Element x y z (fractional)
Tm: 0.4095 0.9976 0.7501
Tm: 0.7464 0.6602 0.7498
Tm: 0.2536 0.3398 0.2502
Tm: 0.5905 0.0024 0.2499
Sc: 0.8485 0.2763 0.2501
Sc: 0.1855 0.9354 0.2500
Sc: 0.1515 0.7237 0.7499
Sc: 0.5261 0.5983 0.2499
Sc: 0.4739 0.4017 0.7501
Sc: 0.8145 0.0646 0.7500
Mg: 0.9207 0.6697 0.2500
Mg: 0.0793 0.3303 0.7500

Values from the calculation:
* energy above the most stable polymorph in this dataset: 0 meV per atom
* ΔH_f (0 K): 52.8 meV per atom
* E: -4.87 eV per atom
* DOS at the Fermi energy: 19.5 states/eV per cell


7.
Here is a relaxed KZn2GeCl crystal from Alexandria via LeMat-Bulk. Energies are from PBE.

a = 5.9163 Å, b = 5.0549 Å, c = 5.9163 Å
α = 90.00°, β = 90.00°, γ = 90.00°
Element x y z (fractional)
K: 0.5000 0.5000 0.5000
Zn: 0.0000 0.0000 0.5000
Zn: 0.5000 0.0000 0.0000
Ge: 0.0000 0.5000 0.0000
Cl: 0.0000 0.0000 0.0000

Values from the calculation:
* energy above the most stable polymorph in this dataset: 2 meV per atom
* E: -1.72 eV per atom
* DOS at the Fermi energy: 2.6 states/eV per cell


8.
Here is a relaxed NbTeNF2 crystal from Alexandria via LeMat-Bulk. Energies are from PBE.

a = 4.5082 Å, b = 4.5082 Å, c = 4.2368 Å
α = 90.00°, β = 90.00°, γ = 90.00°
Element x y z (fractional)
Nb: 0.5000 0.5000 0.5000
Te: 0.0000 0.0000 0.0000
N: 0.0000 0.0000 0.5000
F: 0.0000 0.5000 0.0000
F: 0.5000 0.0000 0.0000

Values from the calculation:
* energy above the most stable polymorph in this dataset: 1211 meV per atom
* E: -4.72 eV per atom
* DOS at the Fermi energy: 4.5 states/eV per cell


9.
Here is a relaxed PrHoZnCu crystal from Alexandria via LeMat-Bulk. Energies are from PBE.

a = 3.5708 Å, b = 3.5708 Å, c = 7.2263 Å
α = 90.00°, β = 90.00°, γ = 90.00°
Element x y z (fractional)
Pr: 0.0000 0.0000 0.8598
Cu: 0.5000 0.5000 0.1360
Zn: 0.5000 0.5000 0.5847
Ho: 0.0000 0.0000 0.3475

Values from the calculation:
* energy above the most stable polymorph in this dataset: 0 meV per atom
* ΔH_f (0 K): -254.2 meV per atom
* E: -3.94 eV per atom
* DOS at the Fermi energy: 3.6 states/eV per cell


10.
Here is a relaxed Sc2TcOs crystal from Alexandria via LeMat-Bulk. Energies are from PBE.

a = 5.5506 Å, b = 5.5506 Å, c = 4.4806 Å
α = 66.19°, β = 66.19°, γ = 33.20°
Element x y z (fractional)
Os: 0.2362 0.2362 0.2639
Tc: 0.5150 0.5150 0.4849
Sc: 0.7613 0.7613 0.7388
Sc: 0.9875 0.9875 0.0124

Values from the calculation:
* ΔH_f (0 K): -299.9 meV per atom
* E: -8.86 eV per atom
* DOS at the Fermi energy: 2.8 states/eV per cell


11.
Here is a relaxed Dy12TlIn6 crystal from Alexandria via LeMat-Bulk. Energies are from PBE.

a = 8.8502 Å, b = 8.8502 Å, c = 8.8502 Å
α = 107.24°, β = 107.24°, γ = 107.24°
Element x y z (fractional)
Dy: 0.3273 0.4224 0.0672
Dy: 0.8925 0.3296 0.0318
Dy: 0.3296 0.0318 0.8925
Dy: 0.0318 0.8925 0.3296
Dy: 0.0672 0.3273 0.4224
Dy: 0.9328 0.6727 0.5776
Dy: 0.5776 0.9328 0.6727
Dy: 0.6727 0.5776 0.9328
Dy: 0.1075 0.6704 0.9682
Dy: 0.6704 0.9682 0.1075
Dy: 0.4224 0.0672 0.3273
Dy: 0.9682 0.1075 0.6704
In: 0.3479 0.2308 0.6553
In: 0.6553 0.3479 0.2308
In: 0.7692 0.3447 0.6521
In: 0.2308 0.6553 0.3479
In: 0.3447 0.6521 0.7692
In: 0.6521 0.7692 0.3447
Tl: 0.0000 0.0000 0.0000

Values from the calculation:
* ΔH_f (0 K): -133.7 meV per atom
* E: -4.03 eV per atom
* DOS at the Fermi energy: 21.4 states/eV per cell


12.
Here is a relaxed Sr2TeRh crystal from Alexandria via LeMat-Bulk. Energies are from PBE.

a = 6.5512 Å, b = 6.5512 Å, c = 9.0434 Å
α = 68.76°, β = 68.76°, γ = 90.00°
Element x y z (fractional)
Sr: 0.3750 0.4279 0.7500
Sr: 0.8750 0.8221 0.7500
Sr: 0.1779 0.6250 0.2500
Sr: 0.5721 0.1250 0.2500
Rh: 0.5000 0.5000 0.0000
Rh: 0.2500 0.7500 0.5000
Te: 0.0000 0.0000 0.0000
Te: 0.7500 0.2500 0.5000

Values from the calculation:
* E: -3.70 eV per atom
* DOS at the Fermi energy: 17.5 states/eV per cell


13.
Here is a relaxed VSe2SN crystal from Alexandria via LeMat-Bulk. Energies are from PBE.

a = 4.8444 Å, b = 4.5031 Å, c = 4.8444 Å
α = 90.00°, β = 90.00°, γ = 90.00°
Element x y z (fractional)
Se: 0.5000 0.0000 0.0000
Se: 0.0000 0.0000 0.5000
N: 0.5000 0.5000 0.5000
S: 0.0000 0.5000 0.0000
V: 0.0000 0.0000 0.0000

Values from the calculation:
* energy above the most stable polymorph in this dataset: 578 meV per atom
* E: -4.78 eV per atom
* DOS at the Fermi energy: 2.8 states/eV per cell


14.
Here is a relaxed Na2LiAg2 crystal from Alexandria via LeMat-Bulk. Energies are from PBE.

a = 8.7140 Å, b = 8.7140 Å, c = 3.0564 Å
α = 90.00°, β = 90.00°, γ = 90.00°
Element x y z (fractional)
Ag: 0.6679 0.8321 0.5000
Ag: 0.8321 0.3321 0.5000
Ag: 0.1679 0.6679 0.5000
Ag: 0.3321 0.1679 0.5000
Na: 0.6311 0.1311 0.0000
Na: 0.8689 0.6311 0.0000
Na: 0.1311 0.3689 0.0000
Na: 0.3689 0.8689 0.0000
Li: 0.5000 0.5000 0.0000
Li: 0.0000 0.0000 0.0000

Values from the calculation:
* energy above the most stable polymorph in this dataset: 135 meV per atom
* ΔH_f (0 K): 68.0 meV per atom
* E: -1.98 eV per atom
* DOS at the Fermi energy: 3.1 states/eV per cell


15.
Here is a relaxed Nb6ReTc5 crystal from Alexandria via LeMat-Bulk. Energies are from PBE.

a = 4.5234 Å, b = 6.3999 Å, c = 7.8157 Å
α = 114.17°, β = 106.82°, γ = 90.00°
Element x y z (fractional)
Tc: 0.6665 0.1665 0.3330
Tc: 0.6668 0.6668 0.3337
Tc: 0.0000 0.5000 0.0000
Tc: 0.3335 0.8335 0.6670
Tc: 0.3332 0.3332 0.6663
Nb: 0.8333 0.5831 0.6665
Nb: 0.5000 0.7497 0.0000
Nb: 0.5000 0.2503 0.0000
Nb: 0.1667 0.9166 0.3335
Nb: 0.1667 0.4169 0.3335
Nb: 0.8333 0.0834 0.6665
Re: 0.0000 0.0000 0.0000

Values from the calculation:
* ΔH_f (0 K): -336.7 meV per atom
* E: -10.73 eV per atom
* DOS at the Fermi energy: 2.7 states/eV per cell